No. 1
# Tb2Pm2DyTm4

An optimized crystal structure of Tb2Pm2DyTm4 (PBE-GGA, the Alexandria database).

```
Tb2Pm2DyTm4
1.0
3.576 0.000 0.000
-1.788 9.266 -0.487
0.000 -3.672 8.764
Tb Tm Pm Dy
2 4 2 1
direct
0.147 0.294 0.663
0.853 0.706 0.337
0.815 0.629 0.663
0.185 0.371 0.337
0.480 0.961 0.665
0.520 0.039 0.335
0.334 0.669 0.999
0.666 0.331 0.001
0.000 0.000 0.000
```

The calculation puts the raw total energy at -4.59 eV/atom. For the theoretical density, the calculation gives 8.46 g cm⁻³. Its formation enthalpy at 0 K is -0.002 eV/atom. The density of states at the Fermi level is 12.23 states/eV/f.u.

***

No. 2
# TbPmDy4Tm2

An optimized crystal structure of TbPmDy4Tm2 (PBE-GGA, the Alexandria database).

```
TbPmDy4Tm2
1.0
9.314 -0.039 -1.696
-0.046 9.314 -1.696
-5.917 -5.921 8.219
Dy Tb Pm Tm
8 2 2 4
direct
0.255 0.249 0.000
0.254 0.750 0.002
0.250 0.754 0.502
0.251 0.245 0.500
0.745 0.751 0.000
0.746 0.250 0.998
0.750 0.246 0.498
0.749 0.755 0.500
0.500 0.500 0.500
0.000 0.000 0.000
0.000 0.500 0.000
0.000 0.500 0.500
0.000 0.000 0.500
0.500 0.000 0.000
0.500 0.500 0.000
0.500 0.000 0.500
```

The calculation puts the raw total energy at -4.15 eV/atom. For the theoretical density, the calculation gives 8.17 g cm⁻³. Its formation enthalpy at 0 K is 0.439 eV/atom. The density of states at the Fermi level is 16.90 states/eV/f.u.

***

No. 3
# Tb2PmDy2Tm2

An optimized crystal structure of Tb2PmDy2Tm2 (PBE-GGA, the Alexandria database).

```
Tb2PmDy2Tm2
1.0
5.017 0.000 0.000
-2.508 5.589 0.274
0.000 -1.504 7.791
Tb Dy Tm Pm
2 2 2 1
direct
0.428 0.857 0.285
0.572 0.143 0.715
0.143 0.286 0.430
0.857 0.714 0.570
0.286 0.571 0.857
0.714 0.429 0.143
0.000 0.000 0.000
```

The calculation puts the raw total energy at -4.58 eV/atom. For the theoretical density, the calculation gives 8.48 g cm⁻³. Its formation enthalpy at 0 K is 0.019 eV/atom. The density of states at the Fermi level is 9.22 states/eV/f.u.

***

No. 4
# Tb2PmDy4Tm2

An optimized crystal structure of Tb2PmDy4Tm2 (PBE-GGA, the Alexandria database).

```
Tb2PmDy4Tm2
1.0
3.578 0.000 0.000
-1.789 9.269 -0.510
0.000 -3.644 8.778
Pm Dy Tm Tb
1 4 2 2
direct
0.000 0.000 0.000
0.815 0.629 0.666
0.519 0.037 0.334
0.481 0.963 0.666
0.185 0.371 0.334
0.332 0.664 0.999
0.668 0.336 0.001
0.148 0.296 0.668
0.852 0.704 0.332
```

The calculation puts the raw total energy at -4.59 eV/atom. For the theoretical density, the calculation gives 8.47 g cm⁻³. Its formation enthalpy at 0 K is 0.003 eV/atom. The density of states at the Fermi level is 12.05 states/eV/f.u.

***

No. 5
# Tb2PmDy6Tm

An optimized crystal structure of Tb2PmDy6Tm (PBE-GGA, the Alexandria database).

```
Tb2PmDy6Tm
1.0
-3.851 7.061 -5.137
-5.552 1.053 6.700
7.846 3.871 0.530
Dy Tm Tb Pm
12 2 4 2
direct
0.557 0.749 0.124
0.943 0.876 0.251
0.057 0.124 0.749
0.185 0.568 0.017
0.315 0.983 0.432
0.881 0.292 0.507
0.685 0.017 0.568
0.815 0.432 0.983
0.381 0.507 0.292
0.619 0.493 0.708
0.443 0.251 0.876
0.119 0.708 0.493
0.750 0.591 0.409
0.250 0.409 0.591
0.045 0.304 0.199
0.455 0.801 0.696
0.545 0.199 0.304
0.955 0.696 0.801
0.750 0.023 0.977
0.250 0.977 0.023
```

The calculation puts the raw total energy at -4.49 eV/atom. For the theoretical density, the calculation gives 8.30 g cm⁻³. Its formation enthalpy at 0 K is 0.118 eV/atom. The density of states at the Fermi level is 13.72 states/eV/f.u.

***

No. 6
# Tb2Pm2Dy4Tm

An optimized crystal structure of Tb2Pm2Dy4Tm (PBE-GGA, the Alexandria database).

```
Tb2Pm2Dy4Tm
1.0
-2.524 0.710 2.460
4.267 -7.525 3.925
4.134 8.423 1.810
Pm Dy Tb Tm
2 4 2 1
direct
0.335 0.669 0.001
0.665 0.331 0.999
0.185 0.370 0.335
0.481 0.962 0.667
0.519 0.038 0.333
0.815 0.630 0.665
0.147 0.295 0.664
0.853 0.705 0.336
0.000 0.000 0.000
```

The calculation puts the raw total energy at -4.63 eV/atom. For the theoretical density, the calculation gives 8.20 g cm⁻³. Its formation enthalpy at 0 K is 0.000 eV/atom. The density of states at the Fermi level is 11.87 states/eV/f.u.